Material: Na4Ac3YSe8
Method: DFT, PBE
State: relaxed

Cell: 8.682 8.682 8.682 Å, 61.38 61.38 61.38°
Atoms (fractional coordinates):
Na 0.000 0.000 0.000
Na 0.000 0.500 0.500
Na 0.500 0.000 0.500
Na 0.500 0.500 0.000
Ac 0.000 0.000 0.500
Ac 0.000 0.500 0.000
Ac 0.500 0.000 0.000
Y 0.500 0.500 0.500
Se 0.249 0.249 0.249
Se 0.263 0.263 0.737
Se 0.263 0.737 0.263
Se 0.263 0.737 0.737
Se 0.737 0.263 0.263
Se 0.737 0.263 0.737
Se 0.737 0.737 0.263
Se 0.751 0.751 0.751

Calculated values
**Symmetry**: No. 166
**Spin magnetization**: 0.00 Bohr magnetons per cell
**Total energy**: -4.957 eV/atom
**Density**: 5.20 g cm⁻³
**Density of states at the Fermi level**: 0.00 states/eV per cell
**Formation energy (no corrections)**: -27.4 eV per formula unit

---

Material: NaAcYSe3
Method: DFT, PBE
State: relaxed

Cell: 8.494 4.273 9.446 Å, 90.00 106.42 90.00°
Atoms (fractional coordinates):
Na 0.099 0.250 0.088
Na 0.901 0.750 0.912
Ac 0.209 0.250 0.733
Ac 0.791 0.750 0.267
Y 0.331 0.750 0.351
Y 0.669 0.250 0.649
Se 0.097 0.250 0.378
Se 0.257 0.750 0.003
Se 0.448 0.750 0.668
Se 0.552 0.250 0.332
Se 0.743 0.250 0.997
Se 0.903 0.750 0.622

Calculated values
**Symmetry**: No. 11
**Spin magnetization**: 0.00 Bohr magnetons per cell
**Total energy**: -5.309 eV/atom
**Density**: 5.81 g cm⁻³
**Density of states at the Fermi level**: 6.14 states/eV per cell
**Formation energy (no corrections)**: -9.5 eV per formula unit

---

Material: Na3Ac2YSe6
Method: DFT, PBE
State: relaxed

Cell: 9.741 9.741 8.676 Å, 101.63 101.63 26.07°
Atoms (fractional coordinates):
Na 0.000 0.000 0.000
Na 0.337 0.337 0.670
Na 0.663 0.663 0.330
Ac 0.335 0.335 0.174
Ac 0.665 0.665 0.826
Y 0.000 0.000 0.500
Se 0.157 0.157 0.573
Se 0.167 0.167 0.080
Se 0.499 0.499 0.727
Se 0.501 0.501 0.273
Se 0.833 0.833 0.920
Se 0.843 0.843 0.427

Calculated values
**Symmetry**: No. 12
**Spin magnetization**: 0.00 Bohr magnetons per cell
**Total energy**: -5.004 eV/atom
**Density**: 5.09 g cm⁻³
**Density of states at the Fermi level**: 0.00 states/eV per cell
**Formation energy (no corrections)**: -20.5 eV per formula unit

---

Material: Na4Ac3ZrSe8
Method: DFT, PBE
State: relaxed

Cell: 8.671 8.671 8.671 Å, 60.42 60.42 60.42°
Atoms (fractional coordinates):
Na 0.000 0.000 0.000
Na 0.000 0.500 0.500
Na 0.500 0.000 0.500
Na 0.500 0.500 0.000
Ac 0.000 0.000 0.500
Ac 0.000 0.500 0.000
Ac 0.500 0.000 0.000
Zr 0.500 0.500 0.500
Se 0.251 0.251 0.251
Se 0.270 0.270 0.727
Se 0.270 0.727 0.270
Se 0.273 0.730 0.730
Se 0.727 0.270 0.270
Se 0.730 0.273 0.730
Se 0.730 0.730 0.273
Se 0.749 0.749 0.749

Calculated values
**Symmetry**: No. 166
**Spin magnetization**: 0.91 Bohr magnetons per cell
**Total energy**: -4.943 eV/atom
**Density**: 5.34 g cm⁻³
**Density of states at the Fermi level**: 4.73 states/eV per cell
**Formation energy (no corrections)**: -25.1 eV per formula unit

---

Material: Na3Ac2ZrSe6
Method: DFT, PBE
State: relaxed

Cell: 7.460 7.460 7.497 Å, 99.64 99.64 119.82°
Atoms (fractional coordinates):
Na 0.000 0.000 0.000
Na 0.334 0.666 0.000
Na 0.666 0.334 0.000
Ac 0.168 0.832 0.500
Ac 0.832 0.168 0.500
Zr 0.500 0.500 0.500
Se 0.115 0.419 0.261
Se 0.276 0.276 0.732
Se 0.419 0.115 0.261
Se 0.581 0.885 0.739
Se 0.724 0.724 0.268
Se 0.885 0.581 0.739

Calculated values
**Symmetry**: No. 12
**Spin magnetization**: 0.85 Bohr magnetons per cell
**Total energy**: -4.998 eV/atom
**Density**: 5.30 g cm⁻³
**Density of states at the Fermi level**: 5.03 states/eV per cell
**Formation energy (no corrections)**: -18.3 eV per formula unit

---

Material: Na2AcZrSe4
Method: DFT, PBE
State: relaxed

Cell: 7.332 4.152 7.495 Å, 90.00 108.61 90.00°
Atoms (fractional coordinates):
Na 0.000 0.000 0.000
Na 0.500 0.500 0.000
Ac 0.000 0.500 0.500
Zr 0.500 0.000 0.500
Se 0.279 0.000 0.742
Se 0.282 0.500 0.273
Se 0.718 0.500 0.727
Se 0.721 0.000 0.258

Calculated values
**Symmetry**: No. 10
**Spin magnetization**: 0.01 Bohr magnetons per cell
**Total energy**: -5.093 eV/atom
**Density**: 5.22 g cm⁻³
**Density of states at the Fermi level**: 3.63 states/eV per cell
**Formation energy (no corrections)**: -11.5 eV per formula unit

---

Material: Na3Ac3ZrSe8
Method: DFT, PBE
State: relaxed

Cell: 8.665 8.665 8.665 Å, 61.22 61.22 61.22°
Atoms (fractional coordinates):
Na 0.000 0.500 0.500
Na 0.500 0.000 0.500
Na 0.500 0.500 0.000
Ac 0.000 0.000 0.500
Ac 0.000 0.500 0.000
Ac 0.500 0.000 0.000
Zr 0.500 0.500 0.500
Se 0.249 0.249 0.249
Se 0.276 0.276 0.723
Se 0.276 0.723 0.276
Se 0.277 0.724 0.724
Se 0.723 0.276 0.276
Se 0.724 0.277 0.724
Se 0.724 0.724 0.277
Se 0.751 0.751 0.751

Calculated values
**Symmetry**: No. 166
**Spin magnetization**: 0.00 Bohr magnetons per cell
**Total energy**: -5.148 eV/atom
**Density**: 5.18 g cm⁻³
**Density of states at the Fermi level**: 0.00 states/eV per cell
**Formation energy (no corrections)**: -24.5 eV per formula unit

---

Material: NaAc4Si4
Method: DFT, PBE
State: relaxed

Cell: 9.078 9.078 6.519 Å, 90.00 90.00 90.00°
Atoms (fractional coordinates):
Na 0.250 0.250 0.250
Na 0.750 0.750 0.750
Ac 0.046 0.670 0.098
Ac 0.170 0.954 0.598
Ac 0.330 0.546 0.598
Ac 0.454 0.830 0.098
Ac 0.546 0.170 0.902
Ac 0.670 0.454 0.402
Ac 0.830 0.046 0.402
Ac 0.954 0.330 0.902
Si 0.001 0.379 0.418
Si 0.121 0.001 0.082
Si 0.379 0.499 0.082
Si 0.499 0.121 0.418
Si 0.501 0.879 0.582
Si 0.621 0.501 0.918
Si 0.879 0.999 0.918
Si 0.999 0.621 0.582

Calculated values
**Symmetry**: No. 86
**Spin magnetization**: 0.00 Bohr magnetons per cell
**Total energy**: -4.713 eV/atom
**Density**: 6.45 g cm⁻³
**Density of states at the Fermi level**: 8.34 states/eV per cell
**Formation energy (no corrections)**: -3.0 eV per formula unit

---

Material: NaAc3Si
Method: DFT, PBE
State: relaxed

Cell: 6.102 6.102 6.102 Å, 90.00 90.00 90.00°
Atoms (fractional coordinates):
Na 0.000 0.000 0.000
Ac 0.000 0.500 0.500
Ac 0.500 0.000 0.500
Ac 0.500 0.500 0.000
Si 0.500 0.500 0.500

Calculated values
**Symmetry**: No. 221
**Spin magnetization**: 0.00 Bohr magnetons per cell
**Total energy**: -3.773 eV/atom
**Density**: 5.35 g cm⁻³
**Density of states at the Fermi level**: 8.82 states/eV per cell
**Formation energy (no corrections)**: 0.2 eV per formula unit

---

Material: NaAc12Si6
Method: DFT, PBE
State: relaxed

Cell: 9.626 9.626 9.626 Å, 109.47 109.47 109.47°
Atoms (fractional coordinates):
Na 0.000 0.000 0.000
Ac 0.116 0.810 0.306
Ac 0.190 0.306 0.497
Ac 0.190 0.694 0.884
Ac 0.306 0.116 0.810
Ac 0.306 0.497 0.190
Ac 0.497 0.190 0.306
Ac 0.503 0.810 0.694
Ac 0.694 0.503 0.810
Ac 0.694 0.884 0.190
Ac 0.810 0.306 0.116
Ac 0.810 0.694 0.503
Ac 0.884 0.190 0.694
Si 0.108 0.608 0.500
Si 0.392 0.500 0.892
Si 0.500 0.108 0.608
Si 0.500 0.892 0.392
Si 0.608 0.500 0.108
Si 0.892 0.392 0.500

Calculated values
**Symmetry**: No. 204
**Spin magnetization**: 0.00 Bohr magnetons per cell
**Total energy**: -4.714 eV/atom
**Density**: 7.05 g cm⁻³
**Density of states at the Fermi level**: 16.30 states/eV per cell
**Formation energy (no corrections)**: -6.4 eV per formula unit

---

Which of these has the highest density?
NaAc12Si6

---

Which value of density of states at the Fermi level does entry 7 give?
0.00 states/eV per cell